VASP calculation (PBE-GGA) on crystalline Zn2Ga3Tc at its relaxed geometry.

Unit cell a=5.1841 b=5.0599 c=8.7067 alpha=84.07 beta=78.36 gamma=59.18
With the nearest neighbours (Å) after each atom.
Atoms (fractional coordinates):
Zn: 0.0000 0.0000 0.0000  6 Ga 2.73-2.80, 4 Tc 2.87
Zn: 0.5000 0.0000 0.5000  6 Ga 2.70-2.86, 6 Zn 2.86-2.99
Zn: 0.1706 0.6589 0.5000  6 Ga 2.67-2.89, 4 Zn 2.86-2.96
Zn: 0.8294 0.3411 0.5000  6 Ga 2.67-2.89, 4 Zn 2.86-2.96
Ga: 0.4420 0.6363 0.7634  2 Tc 2.63-2.70, 4 Zn 2.70-2.89, 3 Ga 2.77-2.85
Ga: 0.2423 0.0000 0.2594  4 Zn 2.67-2.80, 2 Tc 2.68, 2 Ga 2.77
Ga: 0.5580 0.3637 0.2366  2 Tc 2.63-2.70, 4 Zn 2.70-2.89, 3 Ga 2.77-2.85
Ga: 0.9217 0.6363 0.2366  2 Tc 2.63-2.70, 4 Zn 2.70-2.89, 3 Ga 2.77-2.85
Ga: 0.0783 0.3637 0.7634  2 Tc 2.63-2.70, 4 Zn 2.70-2.89, 3 Ga 2.77-2.85
Ga: 0.7577 0.0000 0.7406  4 Zn 2.67-2.80, 2 Tc 2.68, 2 Ga 2.77
Tc: 0.6427 0.7146 0.0000  1 Tc 2.48, 6 Ga 2.63-2.70
Tc: 0.3573 0.2854 0.0000  1 Tc 2.48, 6 Ga 2.63-2.70

Computed properties:
The value obtained for the density of states at the Fermi level is 0.4645 states/eV per atom. The raw total energy is -43.864 eV per cell. For the formation energy, the calculation gives 10 meV per atom.